FeH12C4NCl4, relaxed, DFT PBE; calculated volume = 12.896 A^3/atom; final energy = -0.364 Ry/atom; calculated density = 1.6 Mg/m³
1.0
13.9207 0.0000 0.0000
0.0000 6.4464 0.0000
0.0000 0.0000 6.3229
Fe H C N Cl
2 24 8 2 8
direct
0.2500 0.0806 0.0000
0.7500 0.9194 0.0000
0.0239 0.6456 0.8918
0.0246 0.1880 0.6937
0.0633 0.3134 0.3495
0.0994 0.7378 0.6849
0.1033 0.5793 0.3548
0.1441 0.3981 0.5521
0.3559 0.3981 0.5521
0.3967 0.5793 0.3548
0.4006 0.7378 0.6849
0.4367 0.3134 0.3495
0.4754 0.1880 0.6937
0.4761 0.6456 0.8918
0.5239 0.3544 0.8918
0.5246 0.8120 0.6937
0.5633 0.6866 0.3495
0.5994 0.2622 0.6849
0.6033 0.4207 0.3548
0.6441 0.6019 0.5521
0.8559 0.6019 0.5521
0.8967 0.4207 0.3548
0.9006 0.2622 0.6849
0.9367 0.6866 0.3495
0.9754 0.8120 0.6937
0.9761 0.3544 0.8918
0.0266 0.6868 0.7245
0.0839 0.4442 0.4507
0.4161 0.4442 0.4507
0.4734 0.6868 0.7245
0.5266 0.3132 0.7245
0.5839 0.5558 0.4507
0.9161 0.5558 0.4507
0.9734 0.3132 0.7245
0.0000 0.5000 0.5896
0.5000 0.5000 0.5896
0.1206 0.9563 0.1536
0.2500 0.4231 0.0136
0.2500 0.9967 0.6616
0.3794 0.9563 0.1536
0.6206 0.0437 0.1536
0.7500 0.0033 0.6616
0.7500 0.5769 0.0136
0.8794 0.0437 0.1536